NiTeSe2 PBE relaxed; total DFT energy (no corrections) = -3.901 eV per atom; uncorrected formation energy = 0.07 eV/atom; crystal system = orthorhombic
1.0
-1.744 2.241 5.672
1.744 -2.241 5.672
1.744 2.241 -5.672
Ni Te Se
1 1 2
direct
0.000 0.000 0.000
0.170 0.670 0.500
0.513 0.513 0.000
0.855 0.355 0.500

NiTeSe2 PBE relaxed; total DFT energy (no corrections) = -4.043 eV per atom; uncorrected formation energy = -0.07 eV/atom; crystal system = orthorhombic
1.0
3.766 0.000 0.000
0.000 2.608 4.237
0.000 -2.608 4.237
Ni Te Se
1 1 2
direct
0.000 0.000 0.000
0.500 0.793 0.793
0.000 0.511 0.511
0.500 0.176 0.176

NiTeSe2 PBE relaxed; total DFT energy (no corrections) = -4.052 eV per atom; uncorrected formation energy = -0.08 eV/atom; crystal system = orthorhombic
1.0
6.033 0.000 0.000
0.000 10.244 0.000
0.000 0.000 6.213
Ni Te Se
4 4 8
direct
0.076 0.110 0.000
0.424 0.610 0.500
0.576 0.390 0.000
0.924 0.890 0.500
0.067 0.487 0.537
0.433 0.987 0.037
0.567 0.013 0.537
0.933 0.513 0.037
0.007 0.105 0.623
0.228 0.309 0.089
0.272 0.809 0.589
0.493 0.605 0.123
0.507 0.395 0.623
0.728 0.191 0.089
0.772 0.691 0.589
0.993 0.895 0.123

NiTeSe2 PBE relaxed; total DFT energy (no corrections) = -4.106 eV per atom; uncorrected formation energy = -0.13 eV/atom; crystal system = trigonal
1.0
1.808 1.044 8.104
-1.808 1.044 8.104
0.000 -2.088 8.104
Ni Te Se
1 1 2
direct
0.000 0.000 0.000
0.500 0.500 0.500
0.384 0.384 0.384
0.616 0.616 0.616